[1]
The following is a GGA-PBE calculation of a relaxed PaBiAsO crystal, from the Open Quantum Materials Database.

Lattice parameters (Å, degrees): 4.3165 4.3165 9.3630 90.00 90.00 90.00
Space group P4/nmm (No. 129, origin choice 2)
Unique sites:
Pa  0.2500  0.7500  0.0000 x2
Bi  0.2500  0.2500  0.3852 x2
As  0.2500  0.2500  0.7829 x2
O  0.2500  0.7500  0.5000 x2

Summary:
Relative energy among the computed polymorphs ... 3.538 eV/f.u.


[2]
The following is a GGA-PBE calculation of a relaxed Li2SnAu crystal, from the Open Quantum Materials Database.

Lattice parameters (Å, degrees): 4.6156 4.6156 6.4704 90.00 90.00 90.00
Space group P-4m2 (No. 115)
Unique sites:
Li  0.0000  0.0000  0.0000 x1
Li  0.0000  0.5000  0.7474 x2
Li  0.5000  0.5000  0.5000 x1
Sn  0.0000  0.0000  0.5000 x1
Sn  0.5000  0.5000  0.0000 x1
Au  0.0000  0.5000  0.2502 x2


[3]
The following is a GGA-PBE calculation of a relaxed PmAlSi crystal, from the Open Quantum Materials Database.

Lattice parameters (Å, degrees): 4.2152 4.2152 4.1470 90.00 90.00 120.00
Space group P3m1 (No. 156)
Unique sites:
Pm  0.0000  0.0000  0.0000 x1
Al  0.3333  0.6667  0.5007 x1
Si  0.6667  0.3333  0.4992 x1

Summary:
Relative energy among the computed polymorphs ... 0.000 eV/f.u.


[4]
The following is a GGA-PBE calculation of a relaxed Zr3Zn4 crystal, from the Open Quantum Materials Database.

Lattice parameters (Å, degrees): 8.1651 8.1651 4.4509 90.00 90.00 120.00
Space group P6_3/m (No. 176)
Unique sites:
Zr  0.1025  0.4508  0.2500 x6
Zn  0.0434  0.2184  0.7500 x6
Zn  0.3333  0.6667  0.7500 x2

Summary:
Relative energy among the computed polymorphs ... 0.000 eV/f.u.
Energy relative to the elements ... -0.18 eV/atom


Ordered total DFT energy (no corrections) results: -5.807; -3.301; -5.295; -4.564; unit eV per atom.
Ordered theoretical density results: 10.1; 7.9; 5.2; 6.9; unit g cm⁻³.